[1]
The following is a DFT calculation (PBE) of crystalline Na2SrBe2O4 at its relaxed geometry.

Cell: 5.9293 5.9293 7.6629 Å, 122.45 122.45 31.17°
Last column: nearest neighbours and their distance in Å.
Sites, in units of the cell vectors:
Na: 0.1255 0.1255 0.1981  4 O 2.33-2.44
Na: 0.8745 0.8745 0.8019  4 O 2.33-2.44
Sr: 0.0000 0.0000 0.5000  6 O 2.47-2.53
Be: 0.3380 0.3380 0.1055  2 O 1.56-1.61
Be: 0.6620 0.6620 0.8945  2 O 1.56-1.61
O: 0.2340 0.2340 0.8524  1 Be 1.61
O: 0.4983 0.4983 0.7450  1 Be 1.56
O: 0.5017 0.5017 0.2550  1 Be 1.56
O: 0.7660 0.7660 0.1476  1 Be 1.61

Calculated values
formation energy without anion corrections: -2156.1 meV per atom
volume: 115.8 Å³/f.u.
total magnetic moment: 0.000 μB per cell

***

[2]
The following is a DFT calculation (PBE) of crystalline Na2TaBe2O6 at its relaxed geometry.

Cell: 5.3151 5.3151 6.1135 Å, 90.00 90.00 120.00°
Last column: nearest neighbours and their distance in Å.
Sites, in units of the cell vectors:
Na: 0.3333 0.6667 0.2950  3 O 2.40
Na: 0.6667 0.3333 0.7050  3 O 2.40
Ta: 0.0000 0.0000 0.0000  6 O 2.00
Be: 0.3333 0.6667 0.8094  3 O 1.53
Be: 0.6667 0.3333 0.1906  3 O 1.53
O: 0.1073 0.3438 0.8090  1 Be 1.53
O: 0.2366 0.8927 0.8090  1 Be 1.53
O: 0.3438 0.2366 0.1910  1 Be 1.53
O: 0.6562 0.7634 0.8090  1 Be 1.53
O: 0.7634 0.1073 0.1910  1 Be 1.53
O: 0.8927 0.6562 0.1910  1 Be 1.53

Calculated values
formation energy without anion corrections: -2190.8 meV per atom
volume: 149.6 Å³/f.u.
total magnetic moment: 1.072 μB per cell

***

[3]
The following is a DFT calculation (PBE) of crystalline Na3Be2TcO6 at its relaxed geometry.

Cell: 5.3560 5.3560 6.0447 Å, 90.00 90.00 120.00°
Last column: nearest neighbours and their distance in Å.
Sites, in units of the cell vectors:
Na: 0.0000 0.0000 0.0000  6 O 2.40
Na: 0.3333 0.6667 0.7265  1 Be 2.61, 6 O 2.68
Na: 0.6667 0.3333 0.2735  1 Be 2.61, 6 O 2.68
Be: 0.3333 0.6667 0.2946  3 O 1.52
Be: 0.6667 0.3333 0.7054  3 O 1.52
Tc: 0.0000 0.0000 0.5000  6 O 1.98
O: 0.1692 0.3383 0.3004  1 Be 1.52
O: 0.1692 0.8308 0.3004  1 Be 1.52
O: 0.3383 0.1692 0.6996  1 Be 1.52
O: 0.6617 0.8308 0.3004  1 Be 1.52
O: 0.8308 0.1692 0.6996  1 Be 1.52
O: 0.8308 0.6617 0.6996  1 Be 1.52

Calculated values
formation energy without anion corrections: -1806.8 meV per atom
volume: 150.2 Å³/f.u.
total magnetic moment: 2.000 μB per cell